This record from Alexandria describes a geometry-optimized AcSbBr structure. The functional is PBE.

The calculation puts the formation energy without anion corrections at -1289.6 meV/atom. Its relative energy among the computed polymorphs is 0.078 eV/atom. For the density, the calculation gives 7.065 g cm⁻³. The density of states at the Fermi level is 1.93 states/eV/cell.

```
data_AcSbBr
_chemical_formula_sum 'Ac2 Sb2 Br2'
_cell_length_a 9.774
_cell_length_b 9.774
_cell_length_c 9.774
_cell_angle_alpha 152.29
_cell_angle_beta 152.29
_cell_angle_gamma 39.59
_space_group_name_H-M_alt 'P 1'
_space_group_IT_number 1
_space_group_name_Hall 'P 1'
loop_
_atom_site_label
_atom_site_type_symbol
_atom_site_fract_x
_atom_site_fract_y
_atom_site_fract_z
_atom_site_occupancy
Ac1 Ac 0.126 0.126 0.000 1
Ac2 Ac 0.874 0.874 0.000 1
Sb1 Sb 0.000 0.500 0.500 1
Sb2 Sb 0.500 0.000 0.500 1
Br1 Br 0.306 0.306 0.000 1
Br2 Br 0.694 0.694 0.000 1
```

This record from Alexandria describes a geometry-optimized Ac2SbBr2 structure. The functional is PBE.

The calculation puts the formation energy without anion corrections at -1587.6 meV/atom. For the density, the calculation gives 5.896 g cm⁻³. The density of states at the Fermi level is 2.40 states/eV/cell.

```
data_Ac2SbBr2
_chemical_formula_sum 'Ac2 Sb1 Br2'
_cell_length_a 11.277
_cell_length_b 11.277
_cell_length_c 11.277
_cell_angle_alpha 23.92
_cell_angle_beta 23.92
_cell_angle_gamma 23.92
_space_group_name_H-M_alt 'P 1'
_space_group_IT_number 1
_space_group_name_Hall 'P 1'
loop_
_atom_site_label
_atom_site_type_symbol
_atom_site_fract_x
_atom_site_fract_y
_atom_site_fract_z
_atom_site_occupancy
Ac1 Ac 0.110 0.110 0.110 1
Ac2 Ac 0.890 0.890 0.890 1
Sb1 Sb 0.500 0.500 0.500 1
Br1 Br 0.278 0.278 0.278 1
Br2 Br 0.722 0.722 0.722 1
```

This record from Alexandria describes a geometry-optimized Ac4SiSb2Br structure. The functional is PBE.

The calculation puts the formation energy without anion corrections at -1107.1 meV/atom. For the density, the calculation gives 7.179 g cm⁻³. The density of states at the Fermi level is 2.12 states/eV/cell.

```
data_Ac4SiSb2Br
_chemical_formula_sum 'Ac4 Si1 Sb2 Br1'
_cell_length_a 8.081
_cell_length_b 4.706
_cell_length_c 8.115
_cell_angle_alpha 90.00
_cell_angle_beta 109.30
_cell_angle_gamma 90.00
_space_group_name_H-M_alt 'P 1'
_space_group_IT_number 1
_space_group_name_Hall 'P 1'
loop_
_atom_site_label
_atom_site_type_symbol
_atom_site_fract_x
_atom_site_fract_y
_atom_site_fract_z
_atom_site_occupancy
Ac1 Ac 0.239 0.000 0.235 1
Ac2 Ac 0.249 0.500 0.766 1
Ac3 Ac 0.751 0.500 0.234 1
Ac4 Ac 0.761 0.000 0.765 1
Si1 Si 0.000 0.500 0.000 1
Sb1 Sb 0.500 0.000 0.000 1
Sb2 Sb 0.500 0.500 0.500 1
Br1 Br 0.000 0.000 0.500 1
```

This record from Alexandria describes a geometry-optimized AcSmSbBr structure. The functional is PBE.

The calculation puts the formation energy without anion corrections at -1101.8 meV/atom. For the density, the calculation gives 8.050 g cm⁻³. The density of states at the Fermi level is 3.27 states/eV/cell.

```
data_AcSmSbBr
_chemical_formula_sum 'Ac1 Sm1 Sb1 Br1'
_cell_length_a 5.528
_cell_length_b 5.528
_cell_length_c 5.528
_cell_angle_alpha 60.00
_cell_angle_beta 60.00
_cell_angle_gamma 60.00
_space_group_name_H-M_alt 'P 1'
_space_group_IT_number 1
_space_group_name_Hall 'P 1'
loop_
_atom_site_label
_atom_site_type_symbol
_atom_site_fract_x
_atom_site_fract_y
_atom_site_fract_z
_atom_site_occupancy
Ac1 Ac 0.000 0.000 0.000 1
Sm1 Sm 0.500 0.500 0.500 1
Sb1 Sb 0.250 0.250 0.250 1
Br1 Br 0.750 0.750 0.750 1
```

This record from Alexandria describes a geometry-optimized Ac8Sb3Te4Br structure. The functional is PBE.

The calculation puts the formation energy without anion corrections at -1374.6 meV/atom. For the density, the calculation gives 7.639 g cm⁻³. The density of states at the Fermi level is 9.42 states/eV/cell.

```
data_Ac8Sb3Te4Br
_chemical_formula_sum 'Ac8 Sb3 Te4 Br1'
_cell_length_a 9.487
_cell_length_b 9.487
_cell_length_c 9.487
_cell_angle_alpha 59.91
_cell_angle_beta 59.91
_cell_angle_gamma 59.91
_space_group_name_H-M_alt 'P 1'
_space_group_IT_number 1
_space_group_name_Hall 'P 1'
loop_
_atom_site_label
_atom_site_type_symbol
_atom_site_fract_x
_atom_site_fract_y
_atom_site_fract_z
_atom_site_occupancy
Ac1 Ac 0.240 0.753 0.753 1
Ac2 Ac 0.247 0.247 0.247 1
Ac3 Ac 0.247 0.247 0.760 1
Ac4 Ac 0.247 0.760 0.247 1
Ac5 Ac 0.753 0.240 0.753 1
Ac6 Ac 0.753 0.753 0.240 1
Ac7 Ac 0.753 0.753 0.753 1
Ac8 Ac 0.760 0.247 0.247 1
Sb1 Sb 0.000 0.000 0.500 1
Sb2 Sb 0.000 0.500 0.000 1
Sb3 Sb 0.500 0.000 0.000 1
Te1 Te 0.000 0.000 0.000 1
Te2 Te 0.000 0.500 0.500 1
Te3 Te 0.500 0.000 0.500 1
Te4 Te 0.500 0.500 0.000 1
Br1 Br 0.500 0.500 0.500 1
```

This record from Alexandria describes a geometry-optimized AcTlSbBr structure. The functional is PBE.

The calculation puts the formation energy without anion corrections at -910.1 meV/atom. For the density, the calculation gives 8.131 g cm⁻³.

```
data_AcTlSbBr
_chemical_formula_sum 'Ac1 Tl1 Sb1 Br1'
_cell_length_a 5.676
_cell_length_b 5.676
_cell_length_c 5.676
_cell_angle_alpha 60.00
_cell_angle_beta 60.00
_cell_angle_gamma 60.00
_space_group_name_H-M_alt 'P 1'
_space_group_IT_number 1
_space_group_name_Hall 'P 1'
loop_
_atom_site_label
_atom_site_type_symbol
_atom_site_fract_x
_atom_site_fract_y
_atom_site_fract_z
_atom_site_occupancy
Ac1 Ac 0.000 0.000 0.000 1
Tl1 Tl 0.500 0.500 0.500 1
Sb1 Sb 0.750 0.750 0.750 1
Br1 Br 0.250 0.250 0.250 1
```

This record from Alexandria describes a geometry-optimized AcSc2Br structure. The functional is PBE.

The calculation puts the formation energy without anion corrections at -92.0 meV/atom. For the density, the calculation gives 5.713 g cm⁻³. The density of states at the Fermi level is 6.54 states/eV/cell.

```
data_AcSc2Br
_chemical_formula_sum 'Ac1 Sc2 Br1'
_cell_length_a 11.090
_cell_length_b 11.090
_cell_length_c 11.090
_cell_angle_alpha 18.13
_cell_angle_beta 18.13
_cell_angle_gamma 18.13
_space_group_name_H-M_alt 'P 1'
_space_group_IT_number 1
_space_group_name_Hall 'P 1'
loop_
_atom_site_label
_atom_site_type_symbol
_atom_site_fract_x
_atom_site_fract_y
_atom_site_fract_z
_atom_site_occupancy
Ac1 Ac 0.000 0.000 0.000 1
Sc1 Sc 0.102 0.102 0.102 1
Sc2 Sc 0.898 0.898 0.898 1
Br1 Br 0.500 0.500 0.500 1
```

This record from Alexandria describes a geometry-optimized Ac2ScBr structure. The functional is PBE.

The calculation puts the formation energy without anion corrections at -207.7 meV/atom. For the density, the calculation gives 6.765 g cm⁻³. The density of states at the Fermi level is 6.00 states/eV/cell.

```
data_Ac2ScBr
_chemical_formula_sum 'Ac2 Sc1 Br1'
_cell_length_a 12.218
_cell_length_b 12.218
_cell_length_c 12.218
_cell_angle_alpha 17.38
_cell_angle_beta 17.38
_cell_angle_gamma 17.38
_space_group_name_H-M_alt 'P 1'
_space_group_IT_number 1
_space_group_name_Hall 'P 1'
loop_
_atom_site_label
_atom_site_type_symbol
_atom_site_fract_x
_atom_site_fract_y
_atom_site_fract_z
_atom_site_occupancy
Ac1 Ac 0.094 0.094 0.094 1
Ac2 Ac 0.906 0.906 0.906 1
Sc1 Sc 0.000 0.000 0.000 1
Br1 Br 0.500 0.500 0.500 1
```

This record from Alexandria describes a geometry-optimized AcSeBr structure. The functional is PBE.

The calculation puts the formation energy without anion corrections at -2047.3 meV/atom. Its relative energy among the computed polymorphs is 0.000 eV/atom. For the density, the calculation gives 6.011 g cm⁻³. The density of states at the Fermi level is 0.00 states/eV/cell.

```
data_AcSeBr
_chemical_formula_sum 'Ac8 Se8 Br8'
_cell_length_a 7.520
_cell_length_b 14.853
_cell_length_c 7.635
_cell_angle_alpha 90.00
_cell_angle_beta 90.00
_cell_angle_gamma 90.00
_space_group_name_H-M_alt 'P 1'
_space_group_IT_number 1
_space_group_name_Hall 'P 1'
loop_
_atom_site_label
_atom_site_type_symbol
_atom_site_fract_x
_atom_site_fract_y
_atom_site_fract_z
_atom_site_occupancy
Ac1 Ac 0.243 0.098 0.035 1
Ac2 Ac 0.243 0.402 0.535 1
Ac3 Ac 0.257 0.598 0.035 1
Ac4 Ac 0.257 0.902 0.535 1
Ac5 Ac 0.743 0.098 0.465 1
Ac6 Ac 0.743 0.402 0.965 1
Ac7 Ac 0.757 0.598 0.465 1
Ac8 Ac 0.757 0.902 0.965 1
Se1 Se 0.001 0.024 0.743 1
Se2 Se 0.001 0.476 0.243 1
Se3 Se 0.499 0.524 0.743 1
Se4 Se 0.499 0.976 0.243 1
Se5 Se 0.501 0.024 0.757 1
Se6 Se 0.501 0.476 0.257 1
Se7 Se 0.999 0.524 0.757 1
Se8 Se 0.999 0.976 0.257 1
Br1 Br 0.127 0.713 0.375 1
Br2 Br 0.127 0.787 0.875 1
Br3 Br 0.373 0.213 0.375 1
Br4 Br 0.373 0.287 0.875 1
Br5 Br 0.627 0.713 0.125 1
Br6 Br 0.627 0.787 0.625 1
Br7 Br 0.873 0.213 0.125 1
Br8 Br 0.873 0.287 0.625 1
```

This record from Alexandria describes a geometry-optimized AcSe2Br8 structure. The functional is PBE.

The calculation puts the formation energy without anion corrections at -633.3 meV/atom. For the density, the calculation gives 3.855 g cm⁻³. The density of states at the Fermi level is 7.32 states/eV/cell.

```
data_AcSe2Br8
_chemical_formula_sum 'Ac1 Se2 Br8'
_cell_length_a 8.228
_cell_length_b 8.228
_cell_length_c 8.091
_cell_angle_alpha 110.78
_cell_angle_beta 110.78
_cell_angle_gamma 62.25
_space_group_name_H-M_alt 'P 1'
_space_group_IT_number 1
_space_group_name_Hall 'P 1'
loop_
_atom_site_label
_atom_site_type_symbol
_atom_site_fract_x
_atom_site_fract_y
_atom_site_fract_z
_atom_site_occupancy
Ac1 Ac 0.000 0.000 0.000 1
Se1 Se 0.155 0.155 0.574 1
Se2 Se 0.845 0.845 0.426 1
Br1 Br 0.183 0.721 0.232 1
Br2 Br 0.228 0.228 0.347 1
Br3 Br 0.279 0.817 0.768 1
Br4 Br 0.310 0.310 0.833 1
Br5 Br 0.690 0.690 0.167 1
Br6 Br 0.721 0.183 0.232 1
Br7 Br 0.772 0.772 0.653 1
Br8 Br 0.817 0.279 0.768 1
```

This record from Alexandria describes a geometry-optimized AcSeBr structure. The functional is PBE.

The calculation puts the formation energy without anion corrections at -1952.5 meV/atom. Its relative energy among the computed polymorphs is 0.095 eV/atom. For the density, the calculation gives 6.310 g cm⁻³. The density of states at the Fermi level is 0.00 states/eV/cell.

```
data_AcSeBr
_chemical_formula_sum 'Ac2 Se2 Br2'
_cell_length_a 5.218
_cell_length_b 5.218
_cell_length_c 7.460
_cell_angle_alpha 90.08
_cell_angle_beta 90.08
_cell_angle_gamma 90.00
_space_group_name_H-M_alt 'P 1'
_space_group_IT_number 1
_space_group_name_Hall 'P 1'
loop_
_atom_site_label
_atom_site_type_symbol
_atom_site_fract_x
_atom_site_fract_y
_atom_site_fract_z
_atom_site_occupancy
Ac1 Ac 0.000 0.500 0.000 1
Ac2 Ac 0.500 0.000 0.500 1
Se1 Se 0.000 0.000 0.250 1
Se2 Se 0.000 0.000 0.750 1
Br1 Br 0.500 0.500 0.250 1
Br2 Br 0.500 0.500 0.750 1
```

| no. | total energy (eV/atom) |
| --- | --- |
| 1 | -4.591 |
| 2 | -4.725 |
| 3 | -5.079 |
| 4 | -4.758 |
| 5 | -5.092 |
| 6 | -3.978 |
| 7 | -4.703 |
| 8 | -4.263 |
| 9 | -5.136 |
| 10 | -2.857 |
| 11 | -5.041 |